{"formula": "K3MgAg2F9", "functional": "PBE-GGA", "state": "relaxed", "e_form_raw_ev_per_atom": -2.312, "spacegroup": "P-3m1, No. 164", "lattice_angstrom": [[6.051, 0.000, 0.000], [-3.025, 5.240, 0.000], [0.000, 0.000, 7.435]], "species": ["K", "K", "K", "Mg", "Ag", "Ag", "F", "F", "F", "F", "F", "F", "F", "F", "F"], "fractional_positions": [[0.000, 0.000, 0.000], [0.333, 0.667, 0.662], [0.667, 0.333, 0.338], [0.000, 0.000, 0.500], [0.333, 0.667, 0.176], [0.667, 0.333, 0.824], [0.000, 0.500, 0.000], [0.156, 0.313, 0.344], [0.156, 0.844, 0.344], [0.313, 0.156, 0.656], [0.500, 0.000, 0.000], [0.500, 0.500, 0.000], [0.687, 0.844, 0.344], [0.844, 0.156, 0.656], [0.844, 0.687, 0.656]]}

***

{"formula": "Ba2MgIn3Pd4", "functional": "PBE-GGA", "state": "relaxed", "e_form_ev_per_atom": -0.5957, "spacegroup": "P-4m2, No. 115", "lattice_angstrom": [[4.809, 0.000, 0.000], [0.000, 4.809, 0.000], [0.000, 0.000, 10.848]], "species": ["Ba", "Ba", "Mg", "In", "In", "In", "Pd", "Pd", "Pd", "Pd"], "fractional_positions": [[0.000, 0.500, 0.239], [0.500, 0.000, 0.761], [0.000, 0.000, 0.500], [0.000, 0.500, 0.880], [0.500, 0.000, 0.120], [0.500, 0.500, 0.500], [0.000, 0.000, 0.000], [0.000, 0.500, 0.626], [0.500, 0.000, 0.374], [0.500, 0.500, 0.000]]}

***

{"formula": "Pm5DyY2", "functional": "PBE-GGA", "state": "relaxed", "relative_energy_ev_per_atom": 0.000, "e_form_ev_per_atom": 0.0154, "spacegroup": "Pbam, No. 55", "lattice_angstrom": [[7.237, 0.000, 0.000], [0.000, 14.476, 0.000], [0.000, 0.000, 5.110]], "species": ["Pm", "Pm", "Pm", "Pm", "Pm", "Pm", "Pm", "Pm", "Pm", "Pm", "Dy", "Dy", "Y", "Y", "Y", "Y"], "fractional_positions": [[0.000, 0.000, 0.000], [0.000, 0.251, 0.000], [0.000, 0.749, 0.000], [0.249, 0.376, 0.500], [0.251, 0.876, 0.500], [0.500, 0.249, 0.000], [0.500, 0.500, 0.000], [0.500, 0.751, 0.000], [0.749, 0.124, 0.500], [0.751, 0.624, 0.500], [0.000, 0.500, 0.000], [0.500, 0.000, 0.000], [0.250, 0.124, 0.500], [0.250, 0.624, 0.500], [0.750, 0.376, 0.500], [0.750, 0.876, 0.500]]}

***

| no. | final energy (eV per atom) | Fermi-level density of states (states/eV/cell) |
| --- | --- | --- |
| 1 | -4.141 | 4.6 |
| 2 | -4.038 | 5.8 |
| 3 | -5.145 | 23.6 |